1.
# La3DyAu4

A geometry-optimized La3DyAu4 structure (PBE, the Alexandria database).

CIF file:
```
data_La3DyAu4
_chemical_formula_sum 'La3 Dy1 Au4'
_symmetry_space_group_name_H-M 'P 4/m m m'
_symmetry_Int_Tables_number 123
_symmetry_space_group_name_Hall '-P 4 2'
_cell_length_a 3.712
_cell_length_b 3.712
_cell_length_c 15.102
_cell_angle_alpha 90.00
_cell_angle_beta 90.00
_cell_angle_gamma 90.00
loop_
_atom_site_label
_atom_site_type_symbol
_atom_site_fract_x
_atom_site_fract_y
_atom_site_fract_z
La1 La 0.000 0.000 0.000
La2 La 0.000 0.000 0.255
Dy1 Dy 0.000 0.000 0.500
Au1 Au 0.500 0.500 0.127
Au2 Au 0.500 0.500 0.391
```

## Properties
* E_tot: -4.859 eV/atom
* spin magnetization: 0.0 Bohr magnetons per cell
* DFT formation energy: -0.80 eV/atom
* theoretical density: 10.91 g cm⁻³


2.
# CaBeMoN2

A geometry-optimized CaBeMoN2 structure (PBE, the Alexandria database).

CIF file:
```
data_CaBeMoN2
_chemical_formula_sum 'Ca1 Be1 Mo1 N2'
_symmetry_space_group_name_H-M 'P 4/m m m'
_symmetry_Int_Tables_number 123
_symmetry_space_group_name_Hall '-P 4 2'
_cell_length_a 4.032
_cell_length_b 4.032
_cell_length_c 4.512
_cell_angle_alpha 90.00
_cell_angle_beta 90.00
_cell_angle_gamma 90.00
loop_
_atom_site_label
_atom_site_type_symbol
_atom_site_fract_x
_atom_site_fract_y
_atom_site_fract_z
Ca1 Ca 0.000 0.000 0.000
Be1 Be 0.000 0.000 0.500
Mo1 Mo 0.500 0.500 0.500
N1 N 0.000 0.500 0.000
```

## Properties
* E_tot: -4.369 eV/atom
* spin magnetization: 0.0 Bohr magnetons per cell
* theoretical density: 3.92 g cm⁻³
* energy relative to the elements, uncorrected: 2273 meV/atom


3.
# LiYZr2

A geometry-optimized LiYZr2 structure (PBE, the Alexandria database).

CIF file:
```
data_LiYZr2
_chemical_formula_sum 'Li2 Y2 Zr4'
_symmetry_space_group_name_H-M 'I 4/m m m'
_symmetry_Int_Tables_number 139
_symmetry_space_group_name_Hall '-I 4 2'
_cell_length_a 4.348
_cell_length_b 4.348
_cell_length_c 9.987
_cell_angle_alpha 90.00
_cell_angle_beta 90.00
_cell_angle_gamma 90.00
loop_
_atom_site_label
_atom_site_type_symbol
_atom_site_fract_x
_atom_site_fract_y
_atom_site_fract_z
Li1 Li 0.000 0.000 0.000
Y1 Y 0.000 0.000 0.500
Zr1 Zr 0.000 0.500 0.250
```

## Properties
* E_tot: -6.120 eV/atom
* spin magnetization: 0.0 Bohr magnetons per cell
* energy above the lowest structure with this stoichiometry: 130 meV per atom
* DFT formation energy: 0.25 eV/atom
* theoretical density: 4.90 g cm⁻³


4.
# SrMg2TlNi

A geometry-optimized SrMg2TlNi structure (PBE, the Alexandria database).

CIF file:
```
data_SrMg2TlNi
_chemical_formula_sum 'Sr1 Mg2 Tl1 Ni1'
_symmetry_space_group_name_H-M 'P 4/m m m'
_symmetry_Int_Tables_number 123
_symmetry_space_group_name_Hall '-P 4 2'
_cell_length_a 4.996
_cell_length_b 4.996
_cell_length_c 5.099
_cell_angle_alpha 90.00
_cell_angle_beta 90.00
_cell_angle_gamma 90.00
loop_
_atom_site_label
_atom_site_type_symbol
_atom_site_fract_x
_atom_site_fract_y
_atom_site_fract_z
Sr1 Sr 0.000 0.000 0.000
Mg1 Mg 0.000 0.500 0.500
Tl1 Tl 0.500 0.500 0.000
Ni1 Ni 0.500 0.500 0.500
```

## Properties
* E_tot: -2.719 eV/atom
* spin magnetization: 0.0 Bohr magnetons per cell
* energy above the lowest structure with this stoichiometry: 0 meV per atom
* DFT formation energy: -0.12 eV/atom
* theoretical density: 5.21 g cm⁻³